LaSc2CdPt: relaxed, GGA-PBE.

Cell lengths 5.2409, 5.2409, 5.0876 Å; angles 90.00, 90.00, 90.00 degrees
Sites, in units of the cell vectors:
La (0.0000, 0.0000, 0.0000)
Sc (0.0000, 0.5000, 0.5000)
Sc (0.5000, 0.0000, 0.5000)
Cd (0.5000, 0.5000, 0.5000)
Pt (0.5000, 0.5000, 0.0000)

Properties
density of states at the Fermi level	7.82	states/eV/f.u.
calculated total energy	-23.043	eV for the cell shown
symmetry	No. 123
total moment	1.4	μB/cell